Record 1
Be3ZnAg, optimized geometry, DFT PBE; ρ = 4.11 Mg/m³; space group = Pm-3m (221); energy relative to the elements = 0.9054 eV/atom; DFT total energy = -10.78 eV per cell; relative energy among the computed polymorphs = 137.6 meV/atom
1.0
-1.722 -3.900 0.726
3.586 -1.192 2.103
-1.696 1.440 3.708
Be Zn Ag
3 1 1
Cartesian
-0.848 0.720 1.854
-0.861 -1.950 0.363
1.793 -0.596 1.052
0.083 -1.826 3.269
0.000 0.000 0.000



Record 2
Ce11Ga9Ir4, optimized geometry, DFT PBE; ρ = 9.05 Mg/m³; space group = Cmmm (65); energy relative to the elements = -0.6588 eV/atom; DFT total energy = -143.77 eV per cell
1.0
3.761 0.000 0.000
0.000 11.477 -4.847
0.000 0.053 12.459
Ir Ga Ce
4 9 11
Cartesian
1.881 6.423 6.770
1.881 8.749 3.246
1.881 5.108 0.842
1.881 2.782 4.366
1.881 4.259 8.591
1.881 2.532 -0.136
1.881 8.999 7.748
1.881 0.870 2.382
1.881 7.272 -0.979
1.881 1.958 7.072
1.881 5.765 3.806
1.881 9.573 0.540
1.881 10.661 5.230
0.000 6.759 8.923
0.000 4.772 -1.311
0.000 3.519 2.323
0.000 8.012 5.289
0.000 4.308 6.013
0.000 7.223 1.598
0.000 10.862 2.708
0.000 0.000 0.000
0.000 0.669 4.903
0.000 9.645 -2.071
0.000 1.886 9.683



Record 3
K2GeBiTe4, optimized geometry, DFT PBE; ρ = 3.92 Mg/m³; space group = Pmn2_1 (31); raw formation energy = -0.426 eV per atom; DFT total energy = -53.33 eV per cell
1.0
7.177 0.000 0.000
0.000 9.672 0.000
0.000 0.000 10.631
Bi Te K Ge
2 8 4 2
Cartesian
3.537 7.992 0.000
7.126 1.681 5.316
3.097 6.834 2.888
6.425 8.623 0.000
6.686 2.838 8.204
6.246 8.551 5.316
2.837 1.049 5.316
3.097 6.834 7.743
2.657 1.121 0.000
6.686 2.838 2.428
6.744 6.422 2.658
3.155 3.250 7.974
3.155 3.250 2.657
6.744 6.422 7.973
7.171 1.570 0.000
3.583 8.102 5.316



Record 4
CdMo3Cl, optimized geometry, DFT PBE; ρ = 8.22 Mg/m³; space group = Pm-3m (221); raw formation energy = 0.946 eV per atom; DFT total energy = -30.53 eV per cell; relative energy among the computed polymorphs = 0.0 meV/atom
1.0
4.448 0.000 0.000
0.000 4.448 0.000
0.000 0.000 4.448
Mo Cl Cd
3 1 1
Cartesian
0.000 2.224 0.000
2.224 0.000 0.000
0.000 0.000 2.224
0.000 0.000 0.000
2.224 2.224 2.224



Record 5
MgZnGe2, optimized geometry, DFT PBE; ρ = 5.18 Mg/m³; space group = R-3m (166); energy relative to the elements = 0.0623 eV/atom; DFT total energy = -11.85 eV per cell; relative energy among the computed polymorphs = 22.8 meV/atom
1.0
-1.885 0.424 -2.582
-2.798 -1.586 -0.231
-5.455 5.919 2.940
Ge Mg Zn
2 1 1
Cartesian
-2.488 1.114 -0.015
-7.650 3.643 0.142
-5.069 2.378 0.063
0.000 0.000 0.000



Record 6
AlInAg4, optimized geometry, DFT PBE; ρ = 8.46 Mg/m³; space group = C2/c (15); energy relative to the elements = -0.0116 eV/atom; DFT total energy = -35.91 eV per cell; relative energy among the computed polymorphs = 14.6 meV/atom
1.0
-4.748 -2.060 1.175
3.531 -3.896 -5.361
3.190 -0.543 6.352
Ag Al In
8 2 2
Cartesian
1.070 -1.816 1.125
0.903 -4.683 1.040
2.868 -1.188 3.980
3.467 -3.184 1.966
-1.508 -1.855 2.656
-0.895 -5.312 -1.814
-1.494 -3.315 0.200
3.481 -4.645 -0.491
-3.556 -1.553 0.890
5.529 -4.947 1.276
0.881 -3.336 3.706
1.092 -3.163 -1.540



Record 7
PrGa4RuRh2, optimized geometry, DFT PBE; ρ = 8.71 Mg/m³; space group = R-3m (166); energy relative to the elements = -0.6283 eV/atom; DFT total energy = -45.89 eV per cell
1.0
-2.423 1.489 3.159
-2.473 -2.655 2.215
4.980 -1.773 7.514
Rh Ga Ru Pr
2 4 1 1
Cartesian
0.314 -0.796 3.475
-0.229 -2.142 9.413
-1.870 -1.069 4.789
-2.256 -1.718 7.659
2.340 -1.220 5.230
1.954 -1.869 8.100
0.042 -1.469 6.444
0.000 0.000 0.000



Record 8
Mg7Cd5, optimized geometry, DFT PBE; ρ = 4.50 Mg/m³; space group = C2/m (12); energy relative to the elements = -0.0512 eV/atom; DFT total energy = -16.35 eV per cell; relative energy among the computed polymorphs = 18.6 meV/atom
1.0
-2.034 4.507 -0.218
-2.062 -3.762 -2.370
-4.868 -1.606 12.215
Cd Mg
5 7
Cartesian
0.000 0.000 0.000
-5.929 0.282 4.956
-3.034 -1.143 4.670
-5.720 0.591 9.398
-3.243 -1.452 0.229
-4.274 0.913 2.565
-7.463 -0.299 7.252
-6.385 -2.411 9.717
-2.579 1.550 -0.091
-1.501 -0.562 2.375
-3.451 1.451 5.998
-4.689 -1.774 7.061



Record 9
La2ZrZn, optimized geometry, DFT PBE; ρ = 6.48 Mg/m³; space group = Cm (8); energy relative to the elements = -0.0554 eV/atom; DFT total energy = -19.90 eV per cell
1.0
-3.093 3.579 4.524
-1.865 0.651 6.240
3.258 3.134 3.016
La Zn Zr
2 1 1
Cartesian
-1.515 5.560 10.570
-4.878 4.217 10.684
-1.015 3.699 7.036
-0.098 1.801 3.144



Record 10
SiTc3Pd, optimized geometry, DFT PBE; ρ = 8.51 Mg/m³; space group = Pm-3m (221); raw formation energy = 0.919 eV per atom; DFT total energy = -37.12 eV per cell; relative energy among the computed polymorphs = 0.0 meV/atom
1.0
-1.403 1.097 -3.994
-2.709 -3.433 0.009
-3.133 2.477 1.781
Tc Si Pd
3 1 1
Cartesian
-1.566 1.239 0.891
-0.702 0.549 -1.997
-1.355 -1.716 0.004
0.000 0.000 0.000
-3.623 0.071 -1.102



Record 11
Be3BH, optimized geometry, DFT PBE; ρ = 1.40 Mg/m³; space group = Pm-3m (221); DFT total energy = -18.91 eV per cell; relative energy among the computed polymorphs = 0.0 meV/atom
1.0
-2.644 -2.229 0.935
2.371 -2.121 1.647
-0.471 1.835 3.041
H B Be
1 1 3
Cartesian
-0.372 -1.258 2.812
0.000 0.000 0.000
-0.235 0.917 1.520
-1.322 -1.114 0.468
1.185 -1.061 0.824



Record 12
K4Th3RhSe8, optimized geometry, DFT PBE; ρ = 5.41 Mg/m³; space group = C2/m (12); raw formation energy = -1.332 eV per atom; DFT total energy = -83.20 eV per cell
1.0
8.133 0.000 0.000
0.000 9.185 0.406
-4.066 -4.298 6.326
Se K Th Rh
8 4 3 1
Cartesian
1.816 2.728 0.384
-2.250 2.159 6.348
0.000 0.299 3.546
2.250 2.159 6.348
4.066 4.588 3.186
6.316 2.728 0.384
4.066 0.414 3.038
0.000 4.473 3.694
4.066 0.000 0.000
2.033 -2.149 3.163
0.000 0.000 0.000
-2.033 -2.149 3.163
-2.033 2.443 3.366
4.066 4.592 0.203
2.033 2.443 3.366
0.000 4.592 0.203



Record 13
CaPm6Pr5, optimized geometry, DFT PBE; ρ = 6.26 Mg/m³; space group = C2/m (12); energy relative to the elements = 0.0299 eV/atom; DFT total energy = -54.04 eV per cell
1.0
-2.421 -3.687 -4.635
5.333 -5.514 3.073
-4.924 -2.595 6.108
Ca Pr Pm
1 5 6
Cartesian
0.000 0.000 0.000
1.877 -4.531 4.096
-1.468 -3.579 5.085
-1.006 -5.898 2.273
-4.394 -4.934 3.276
2.382 -6.862 1.271
-2.247 -2.496 1.665
-3.239 -8.312 3.909
0.235 -9.301 2.881
1.226 -3.484 0.637
-1.700 -4.790 -1.138
-0.312 -7.006 5.685



Record 14
Cd2SeI2, optimized geometry, DFT PBE; ρ = 5.22 Mg/m³; space group = P4/mbm (127); raw formation energy = 0.047 eV per atom; DFT total energy = -16.36 eV per cell; relative energy among the computed polymorphs = 484.1 meV/atom
1.0
8.876 0.000 0.000
0.000 8.876 0.000
0.000 0.000 4.500
Cd I Se
4 4 2
Cartesian
7.921 3.483 2.250
5.393 7.921 2.250
0.955 5.393 2.250
3.483 0.955 2.250
2.281 6.719 0.000
6.594 2.157 0.000
2.157 2.281 0.000
6.719 6.594 0.000
4.438 4.438 0.000
0.000 0.000 0.000



Record 15
Pm8Ir5Pt, optimized geometry, DFT PBE; ρ = 11.15 Mg/m³; space group = I-4 (82); energy relative to the elements = -0.7102 eV/atom; DFT total energy = -98.29 eV per cell
1.0
-5.620 -3.922 -3.406
6.401 -0.611 -4.149
1.232 -2.829 7.003
Pm Ir Pt
8 5 1
Cartesian
-3.914 -6.096 1.354
-0.052 -5.170 2.446
4.129 -0.953 -3.512
0.628 -2.188 0.710
4.728 -2.353 -0.051
1.495 -3.068 -2.531
-2.145 -4.133 -0.968
3.184 -5.488 0.343
0.561 -5.095 -0.750
-2.194 -3.375 1.798
2.541 -0.593 -0.694
1.010 -4.680 -4.869
-0.085 -4.357 5.209
2.720 -3.408 2.326



Record 16
SbAs2Se, optimized geometry, DFT PBE; ρ = 6.14 Mg/m³; space group = Imm2 (44); raw formation energy = 0.261 eV per atom; DFT total energy = -15.86 eV per cell; relative energy among the computed polymorphs = 245.5 meV/atom
1.0
6.101 0.023 -0.012
3.140 5.231 0.012
-4.454 -2.920 2.976
As Sb Se
2 1 1
Cartesian
1.051 2.127 1.494
0.190 0.108 0.000
4.508 2.563 0.000
3.658 0.163 1.482



Record 17
Ho8Cu2Ni, optimized geometry, DFT PBE; ρ = 8.61 Mg/m³; space group = Cm (8); energy relative to the elements = -0.0261 eV/atom; DFT total energy = -50.88 eV per cell; relative energy among the computed polymorphs = 114.9 meV/atom
1.0
-5.646 -1.694 0.094
3.504 -6.275 -2.870
1.315 1.592 7.458
Ho Cu Ni
8 2 1
Cartesian
-2.575 -1.074 2.400
-1.344 -4.353 3.031
2.074 -5.226 2.281
-2.462 -6.426 -0.799
-3.811 -1.578 5.566
0.692 -2.006 1.675
1.516 -3.221 4.914
-2.020 -3.069 -0.218
0.094 -4.779 0.351
-0.769 -1.677 4.424
-1.010 -0.328 0.036



Record 18
Ba2Tl4CdAg3, optimized geometry, DFT PBE; ρ = 8.60 Mg/m³; space group = P-4m2 (115); energy relative to the elements = -0.1923 eV/atom; DFT total energy = -24.70 eV per cell
1.0
-2.775 -3.950 1.137
3.410 -1.446 3.298
-5.556 6.358 8.531
Ag Cd Tl Ba
3 1 4 2
Cartesian
-6.208 3.542 7.971
-2.778 3.179 4.266
0.970 0.118 2.778
-2.461 0.481 6.483
0.000 0.000 0.000
-4.898 2.042 5.959
-0.341 1.618 4.790
0.317 -2.698 2.217
-2.788 -0.373 2.718
-2.451 4.032 8.030



Record 19
In2IrRh2, optimized geometry, DFT PBE; ρ = 11.21 Mg/m³; space group = I4/mmm (139); energy relative to the elements = 0.3150 eV/atom; DFT total energy = -27.47 eV per cell; relative energy among the computed polymorphs = 292.8 meV/atom
1.0
-1.773 1.773 7.391
1.773 -1.773 7.391
1.773 1.773 -7.391
In Ir Rh
2 1 2
Cartesian
0.000 0.000 5.889
0.000 0.000 8.893
0.000 0.000 0.000
0.000 1.773 3.696
1.773 0.000 3.696



Record 20
NaHgS2O8, optimized geometry, DFT PBE; ρ = 3.97 Mg/m³; space group = P-3 (147); raw formation energy = -1.141 eV per atom; DFT total energy = -63.23 eV per cell
1.0
5.015 0.000 0.000
-2.508 4.343 0.000
0.000 0.000 7.991
S O Na Hg
2 8 1 1
Cartesian
0.000 2.895 6.052
2.508 1.448 1.938
2.508 1.448 0.463
3.301 0.272 2.417
1.092 1.348 2.417
3.129 2.723 2.417
1.415 2.995 5.574
-0.622 1.620 5.574
0.000 2.895 7.528
-0.794 4.071 5.574
0.000 0.000 0.000
0.000 0.000 3.995



Record 21
RbNbF5, optimized geometry, DFT PBE; ρ = 2.93 Mg/m³; space group = C2/c (15); raw formation energy = -2.968 eV per atom; DFT total energy = -82.34 eV per cell
1.0
6.146 0.321 -1.958
-2.203 6.055 -0.442
-1.333 -0.750 8.726
F Nb Rb
10 2 2
Cartesian
1.663 3.960 6.894
3.460 1.356 2.734
3.611 -0.321 5.075
0.948 1.666 -0.569
-1.000 5.947 1.250
-2.226 4.236 7.280
4.836 1.390 -0.954
-0.850 4.271 3.591
1.193 1.011 4.329
1.418 4.616 1.996
2.407 -0.215 3.384
0.000 0.000 0.000
3.175 3.081 0.492
-0.565 2.545 5.834



Record 22
PrZr2Cu9, optimized geometry, DFT PBE; ρ = 7.98 Mg/m³; space group = R-3m (166); energy relative to the elements = -0.1283 eV/atom; DFT total energy = -60.28 eV per cell
1.0
-4.459 1.799 1.784
-4.309 -0.701 -2.692
-4.213 -6.705 3.603
Cu Zr Pr
9 2 1
Cartesian
-6.936 -0.337 1.418
-6.491 -2.803 1.347
-6.121 -4.025 3.505
-8.266 -4.374 2.165
-4.716 -1.233 0.530
-10.054 -5.945 2.982
-6.861 -1.582 -0.811
-2.928 0.338 -0.288
-6.046 -5.270 1.277
-3.617 -3.436 1.797
-9.365 -2.171 0.897
0.000 0.000 0.000